Here is a geometry-optimized K2AsSF structure from Alexandria. Energies are from GGA-PBE.

Cell lengths 6.3033, 4.1284, 6.3033 Å; angles 90.00, 90.00, 90.00 degrees
Last column: magnetic moment on the atom in μB.
Element x y z (fractional)
1 As 0.0000 0.0000 0.0000  0.52
2 K 0.0000 0.0000 0.5000  0.02
3 K 0.5000 0.0000 0.0000  0.01
4 S 0.5000 0.5000 0.5000  0.42
5 F 0.0000 0.5000 0.0000  0.08

Results
SG   P4/mmm, No. 123
Energy   -3.14 eV per atom
DOS at the Fermi energy   0.6349 states/eV/atom


Here is a geometry-optimized KAsS2F structure from Alexandria. Energies are from GGA-PBE.

Cell lengths 5.4923, 4.4060, 5.4923 Å; angles 90.00, 90.00, 90.00 degrees
Last column: magnetic moment on the atom in μB.
Element x y z (fractional)
1 K 0.0000 0.0000 0.0000  0.06
2 As 0.5000 0.5000 0.5000  -0.56
3 F 0.0000 0.5000 0.0000  0.13
4 S 0.5000 0.0000 0.0000  0.51
5 S 0.0000 0.0000 0.5000  0.72

Results
SG   P4/mmm, No. 123
Energy   -2.63 eV per atom
DOS at the Fermi energy   0.5639 states/eV/atom


Here is a geometry-optimized K5AsS4F2 structure from Alexandria. Energies are from GGA-PBE.

Cell lengths 7.1373, 6.8797, 8.3174 Å; angles 90.00, 90.00, 121.25 degrees
Element x y z (fractional)
1 K 0.1213 0.4142 0.2748
2 S 0.5975 0.0000 0.2173
3 K 0.3119 0.0000 0.5000
4 S 0.0868 0.7033 0.0000
5 As 0.4220 0.0000 0.0000
6 F 0.3762 0.4029 0.5000
7 F 0.9733 0.5971 0.5000
8 K 0.1213 0.4142 0.7252
9 K 0.7071 0.5858 0.7252
10 K 0.7071 0.5858 0.2748
11 S 0.3835 0.2967 0.0000
12 S 0.5975 0.0000 0.7827

Results
SG   Amm2, No. 38
Energy   -3.99 eV per atom
DOS at the Fermi energy   0.0000 states/eV/atom


Here is a geometry-optimized K2AsSF5 structure from Alexandria. Energies are from GGA-PBE.

Cell lengths 6.3627, 6.3627, 6.3627 Å; angles 89.53, 120.27, 120.27 degrees
Element x y z (fractional)
1 F 0.5900 0.8179 0.8179
2 F 0.0000 0.8179 0.2279
3 As 0.0000 0.9990 0.9990
4 K 0.5000 0.7229 0.2229
5 F 0.0000 0.2025 0.2025
6 K 0.5000 0.2229 0.7229
7 F 0.0000 0.2279 0.8179
8 S 0.0000 0.7613 0.7613
9 F 0.4100 0.2279 0.2279

Results
SG   I4mm, No. 107
Energy   -4.38 eV per atom
DOS at the Fermi energy   0.0000 states/eV/atom